Record 1
The following is a PBE calculation of a relaxed structure of CdSb2Os, from the Alexandria database.

The space group is P4/mmm (No. 123) and the conventional cell measures 4.821, 4.821 and 3.615 Å, with angles of 90.00, 90.00 and 90.00 degrees. The inequivalent atoms are Cd at (0.000, 0.000, 0.000), Sb at (0.000, 0.500, 0.500) and Os at (0.500, 0.500, 0.000).

The total magnetization is 0.0 μB per formula unit. As for the energy: -0.324 Ry per atom.



Record 2
The following is a PBE calculation of a relaxed structure of CdSb2Os, from the Alexandria database.

The space group is Cmm2 (No. 35) and the conventional cell measures 3.221, 5.305 and 10.697 Å, with angles of 90.00, 90.00 and 90.00 degrees. The inequivalent atoms are Cd at (0.000, 0.000, 0.000), Sb at (0.000, 0.000, 0.412), Sb at (0.000, 0.500, 0.741) and Os at (0.000, 0.500, 0.216).

The total magnetization is 0.0 μB per formula unit. As for the energy: -0.334 Ry per atom.



Record 3
The following is a PBE calculation of a relaxed structure of Cd2SbOs, from the Alexandria database.

The space group is P4/mmm (No. 123) and the conventional cell measures 4.057, 4.057 and 4.781 Å, with angles of 90.00, 90.00 and 90.00 degrees. The inequivalent atoms are Cd at (0.000, 0.500, 0.000), Sb at (0.000, 0.000, 0.500) and Os at (0.500, 0.500, 0.500).

The total magnetization is 0.0 μB per formula unit. As for the energy: -0.272 Ry per atom.



Record 4
The following is a PBE calculation of a relaxed structure of CdSb2Os, from the Alexandria database.

The space group is Cm (No. 8) and the conventional cell measures 10.212, 3.212 and 6.388 Å, with angles of 90.00, 111.04 and 90.00 degrees. The inequivalent atoms are Cd at (0.000, 0.000, 0.000), Sb at (0.154, 0.000, 0.623), Sb at (0.342, 0.000, 0.333) and Os at (0.226, 0.500, 0.980).

The total magnetization is 0.0 μB per formula unit. As for the energy: -0.354 Ry per atom.



Record 5
The following is a PBE calculation of a relaxed structure of Cd2SbOs, from the Alexandria database.

The space group is C2/m (No. 12) and the conventional cell measures 5.477, 10.589 and 3.312 Å, with angles of 90.00, 122.12 and 90.00 degrees. The inequivalent atoms are Cd at (0.250, 0.250, 0.000), Sb at (0.000, 0.000, 0.000) and Os at (0.000, 0.500, 0.000).

The total magnetization is 0.0 μB per formula unit. As for the energy: -0.272 Ry per atom.



Record 6
The following is a PBE calculation of a relaxed structure of Cd2SbOs, from the Alexandria database.

The space group is Immm (No. 71) and the conventional cell measures 3.050, 4.321 and 13.534 Å, with angles of 90.00, 90.00 and 90.00 degrees. The inequivalent atoms are Cd at (0.000, 0.000, 0.188), Sb at (0.000, 0.500, 0.000) and Os at (0.000, 0.500, 0.500).

The total magnetization is 0.0 μB per formula unit. As for the energy: -0.286 Ry per atom.



Record 7
The following is a PBE calculation of a relaxed structure of CdSb2Os, from the Alexandria database.

The space group is P4mm (No. 99) and the conventional cell measures 3.201, 3.201 and 8.741 Å, with angles of 90.00, 90.00 and 90.00 degrees. The inequivalent atoms are Cd at (0.000, 0.000, 0.000), Sb at (0.000, 0.000, 0.384), Sb at (0.500, 0.500, 0.720) and Os at (0.500, 0.500, 0.214).

The total magnetization is 0.0 μB per formula unit. As for the energy: -0.352 Ry per atom.



Record 8
The following is a PBE calculation of a relaxed structure of Cd2SbOs, from the Alexandria database.

The space group is P2/m (No. 10) and the conventional cell measures 3.155, 5.470 and 4.731 Å, with angles of 90.00, 95.12 and 90.00 degrees. The inequivalent atoms are Cd at (0.247, 0.000, 0.245), Sb at (0.500, 0.500, 0.500) and Os at (0.000, 0.500, 0.000).

The total magnetization is 0.4 μB per formula unit. As for the energy: -0.274 Ry per atom.



The lowest energy belongs to which entry?
number 4



Which of these has the lowest energy?
number 4



Number 7 is which compound?
CdSb2Os